First-principles (GGA-PBEsol) data for NaGe2H after structural relaxation, as listed in Alexandria.

Cell and atoms, written as POSCAR:
```
NaGe2H
1.0
5.182 0.000 0.000
0.000 5.182 0.000
-2.591 -2.591 5.866
Na Ge H
2 4 2
Cartesian
0.000 0.000 0.000
0.000 2.591 2.933
1.296 0.000 4.399
-1.296 0.000 4.399
2.591 3.887 1.466
2.591 1.296 1.466
2.591 2.591 0.000
2.591 0.000 2.933
```

Output
DFT total energy = -3.35 eV per atom